# La2Pr3Y4 | the Alexandria database | PBE | relaxed
data_La2Pr3Y4
_symmetry_space_group_name_H-M 'P 1'
_symmetry_Int_Tables_number 1
_cell_length_a 5.831
_cell_length_b 9.097
_cell_length_c 6.651
_cell_angle_alpha 108.16
_cell_angle_beta 90.00
_cell_angle_gamma 108.69
loop_
_symmetry_equiv_pos_as_xyz
'x,y,z'
loop_
_atom_site_label
_atom_site_type_symbol
_atom_site_fract_x
_atom_site_fract_y
_atom_site_fract_z
La1 La 0.640 0.280 0.301
La2 La 0.360 0.720 0.699
Pr1 Pr 0.871 0.741 0.416
Pr2 Pr 0.129 0.259 0.584
Pr3 Pr 0.000 0.000 0.000
Y1 Y 0.775 0.551 0.860
Y2 Y 0.225 0.449 0.140
Y3 Y 0.432 0.865 0.244
Y4 Y 0.568 0.135 0.756
# ΔE to the lowest computed polymorph = 0.034 eV/atom
# Formation energy from the elements = 0.091 eV/atom
# Uncorrected energy = -5.470 eV per atom

---

# DyAsRhS | the Alexandria database | PBE | relaxed
data_DyAsRhS
_symmetry_space_group_name_H-M 'P 1'
_symmetry_Int_Tables_number 1
_cell_length_a 4.451
_cell_length_b 4.451
_cell_length_c 8.146
_cell_angle_alpha 90.00
_cell_angle_beta 90.00
_cell_angle_gamma 90.00
loop_
_symmetry_equiv_pos_as_xyz
'x,y,z'
loop_
_atom_site_label
_atom_site_type_symbol
_atom_site_fract_x
_atom_site_fract_y
_atom_site_fract_z
Dy1 Dy 0.500 0.000 0.680
Dy2 Dy 0.000 0.500 0.320
As1 As 0.000 0.500 0.858
As2 As 0.500 0.000 0.142
Rh1 Rh 0.500 0.500 0.000
Rh2 Rh 0.000 0.000 0.000
S1 S 0.000 0.000 0.500
S2 S 0.500 0.500 0.500
# Uncorrected energy = -6.327 eV per atom

---

# BeNi2Cl | the Alexandria database | PBE | relaxed
data_BeNi2Cl
_symmetry_space_group_name_H-M 'P 1'
_symmetry_Int_Tables_number 1
_cell_length_a 4.218
_cell_length_b 4.218
_cell_length_c 4.218
_cell_angle_alpha 126.84
_cell_angle_beta 126.84
_cell_angle_gamma 78.50
loop_
_symmetry_equiv_pos_as_xyz
'x,y,z'
loop_
_atom_site_label
_atom_site_type_symbol
_atom_site_fract_x
_atom_site_fract_y
_atom_site_fract_z
Ni1 Ni 0.000 0.000 0.000
Ni2 Ni 0.500 0.500 0.000
Be1 Be 0.250 0.750 0.500
Cl1 Cl 0.750 0.250 0.500
# ΔE to the lowest computed polymorph = 0.500 eV/atom
# Uncorrected energy = -3.813 eV per atom

---

# Cd6AgHg12 | the Alexandria database | PBE | relaxed
data_Cd6AgHg12
_symmetry_space_group_name_H-M 'P 1'
_symmetry_Int_Tables_number 1
_cell_length_a 7.828
_cell_length_b 7.828
_cell_length_c 7.828
_cell_angle_alpha 85.27
_cell_angle_beta 85.27
_cell_angle_gamma 85.27
loop_
_symmetry_equiv_pos_as_xyz
'x,y,z'
loop_
_atom_site_label
_atom_site_type_symbol
_atom_site_fract_x
_atom_site_fract_y
_atom_site_fract_z
Cd1 Cd 0.881 0.732 0.259
Cd2 Cd 0.741 0.119 0.268
Cd3 Cd 0.268 0.741 0.119
Cd4 Cd 0.119 0.268 0.741
Cd5 Cd 0.259 0.881 0.732
Cd6 Cd 0.732 0.259 0.881
Ag1 Ag 0.000 0.000 0.000
Hg1 Hg 0.799 0.445 0.532
Hg2 Hg 0.532 0.799 0.445
Hg3 Hg 0.445 0.532 0.799
Hg4 Hg 0.201 0.555 0.468
Hg5 Hg 0.468 0.201 0.555
Hg6 Hg 0.555 0.468 0.201
Hg7 Hg 0.156 0.041 0.375
Hg8 Hg 0.959 0.625 0.844
Hg9 Hg 0.625 0.844 0.959
Hg10 Hg 0.844 0.959 0.625
Hg11 Hg 0.041 0.375 0.156
Hg12 Hg 0.375 0.156 0.041
# ΔE to the lowest computed polymorph = 0.000 eV/atom
# Formation energy from the elements = 0.042 eV/atom
# Uncorrected energy = -0.588 eV per atom

---

# Si2TcSe | the Alexandria database | PBE | relaxed
data_Si2TcSe
_symmetry_space_group_name_H-M 'P 1'
_symmetry_Int_Tables_number 1
_cell_length_a 3.072
_cell_length_b 4.662
_cell_length_c 4.278
_cell_angle_alpha 90.00
_cell_angle_beta 90.00
_cell_angle_gamma 90.00
loop_
_symmetry_equiv_pos_as_xyz
'x,y,z'
loop_
_atom_site_label
_atom_site_type_symbol
_atom_site_fract_x
_atom_site_fract_y
_atom_site_fract_z
Se1 Se 0.000 0.500 0.500
Si1 Si 0.000 0.000 0.000
Si2 Si 0.500 0.500 0.000
Tc1 Tc 0.500 0.000 0.500
# Uncorrected energy = -5.706 eV per atom

---

# Cs6Cu3F14 | the Alexandria database | PBE | relaxed
data_Cs6Cu3F14
_symmetry_space_group_name_H-M 'P 1'
_symmetry_Int_Tables_number 1
_cell_length_a 6.098
_cell_length_b 10.271
_cell_length_c 10.271
_cell_angle_alpha 120.00
_cell_angle_beta 90.00
_cell_angle_gamma 90.00
loop_
_symmetry_equiv_pos_as_xyz
'x,y,z'
loop_
_atom_site_label
_atom_site_type_symbol
_atom_site_fract_x
_atom_site_fract_y
_atom_site_fract_z
Cs1 Cs 0.265 0.776 0.066
Cs2 Cs 0.265 0.934 0.710
Cs3 Cs 0.265 0.290 0.224
Cs4 Cs 0.799 0.550 0.571
Cs5 Cs 0.799 0.429 0.979
Cs6 Cs 0.799 0.021 0.450
Cu1 Cu 0.802 0.000 0.000
Cu2 Cu 0.346 0.333 0.667
Cu3 Cu 0.459 0.667 0.333
F1 F 0.936 0.043 0.182
F2 F 0.936 0.818 0.861
F3 F 0.936 0.139 0.957
F4 F 0.481 0.272 0.481
F5 F 0.481 0.519 0.791
F6 F 0.481 0.209 0.728
F7 F 0.491 0.000 0.000
F8 F 0.036 0.333 0.667
F9 F 0.641 0.723 0.214
F10 F 0.641 0.786 0.509
F11 F 0.641 0.491 0.277
F12 F 0.281 0.613 0.457
F13 F 0.281 0.543 0.156
F14 F 0.281 0.844 0.387
# Uncorrected energy = -4.030 eV per atom

---

# TaCrCu2 | the Alexandria database | PBE | relaxed
data_TaCrCu2
_symmetry_space_group_name_H-M 'P 1'
_symmetry_Int_Tables_number 1
_cell_length_a 2.833
_cell_length_b 2.833
_cell_length_c 7.033
_cell_angle_alpha 90.00
_cell_angle_beta 90.00
_cell_angle_gamma 90.00
loop_
_symmetry_equiv_pos_as_xyz
'x,y,z'
loop_
_atom_site_label
_atom_site_type_symbol
_atom_site_fract_x
_atom_site_fract_y
_atom_site_fract_z
Cr1 Cr 0.500 0.500 0.773
Cu1 Cu 0.000 0.000 0.006
Cu2 Cu 0.500 0.500 0.223
Ta1 Ta 0.000 0.000 0.499
# ΔE to the lowest computed polymorph = 0.048 eV/atom
# Formation energy from the elements = 0.235 eV/atom
# Uncorrected energy = -7.182 eV per atom

---

# BaBiTe3Au | the Alexandria database | PBE | relaxed
data_BaBiTe3Au
_symmetry_space_group_name_H-M 'P 1'
_symmetry_Int_Tables_number 1
_cell_length_a 4.583
_cell_length_b 9.401
_cell_length_c 10.051
_cell_angle_alpha 101.79
_cell_angle_beta 90.00
_cell_angle_gamma 90.00
loop_
_symmetry_equiv_pos_as_xyz
'x,y,z'
loop_
_atom_site_label
_atom_site_type_symbol
_atom_site_fract_x
_atom_site_fract_y
_atom_site_fract_z
Ba1 Ba 0.250 0.170 0.258
Ba2 Ba 0.750 0.830 0.742
Bi1 Bi 0.250 0.663 0.147
Bi2 Bi 0.750 0.337 0.853
Te1 Te 0.750 0.887 0.123
Te2 Te 0.250 0.113 0.877
Te3 Te 0.250 0.756 0.471
Te4 Te 0.750 0.244 0.529
Te5 Te 0.750 0.434 0.168
Te6 Te 0.250 0.566 0.832
Au1 Au 0.250 0.070 0.580
Au2 Au 0.750 0.930 0.420
# Uncorrected energy = -3.769 eV per atom